# 1
# LaPrEr | Alexandria | PBE-GGA | relaxed
# - formation energy from the elements (kJ/mol of formula units) = 5
data_LaPrEr
_chemical_formula_sum 'La2 Pr2 Er2'
_cell_length_a 3.6721
_cell_length_b 5.1741
_cell_length_c 10.9013
_cell_angle_alpha 90.00
_cell_angle_beta 90.00
_cell_angle_gamma 90.00
_symmetry_space_group_name_H-M 'I m m 2'
_symmetry_Int_Tables_number 44
loop_
_symmetry_equiv_pos_as_xyz
'x,y,z'
'-x,-y,z'
'-x,y,z'
'x,-y,z'
'x+1/2,y+1/2,z+1/2'
'-x+1/2,-y+1/2,z+1/2'
'-x+1/2,y+1/2,z+1/2'
'x+1/2,-y+1/2,z+1/2'
loop_
_atom_site_label
_atom_site_fract_x
_atom_site_fract_y
_atom_site_fract_z
La1 0.0000 0.0000 0.0000
Pr1 0.0000 0.0000 0.3326
Er1 0.0000 0.0000 0.6675

***

# 2
# YEr2 | Alexandria | PBE-GGA | relaxed
# - formation energy from the elements (kJ/mol of formula units) = 58
data_YEr2
_chemical_formula_sum 'Y2 Er4'
_cell_length_a 3.4411
_cell_length_b 5.7161
_cell_length_c 9.8906
_cell_angle_alpha 90.00
_cell_angle_beta 90.00
_cell_angle_gamma 90.00
_symmetry_space_group_name_H-M 'I m m m'
_symmetry_Int_Tables_number 71
_symmetry_space_group_name_Hall '-I 2 2'
loop_
_atom_site_label
_atom_site_fract_x
_atom_site_fract_y
_atom_site_fract_z
Y1 0.0000 0.0000 0.0000
Er1 0.0000 0.5000 0.1901

***

# 3
# CaDy3Se4 | Alexandria | PBE-GGA | relaxed
# - formation energy (no corrections) (eV/atom) = -1.81
data_CaDy3Se4
_chemical_formula_sum 'Ca2 Dy6 Se8'
_cell_length_a 8.2376
_cell_length_b 11.5802
_cell_length_c 4.0815
_cell_angle_alpha 90.00
_cell_angle_beta 90.00
_cell_angle_gamma 90.00
_symmetry_space_group_name_H-M 'C m m m'
_symmetry_Int_Tables_number 65
_symmetry_space_group_name_Hall '-C 2 2'
loop_
_atom_site_label
_atom_site_fract_x
_atom_site_fract_y
_atom_site_fract_z
Ca1 0.0000 0.0000 0.0000
Dy1 0.0000 0.5000 0.0000
Dy2 0.2500 0.2500 0.5000
Se1 0.0000 0.2502 0.0000
Se2 0.2481 0.5000 0.5000

***

# 4
# ZrPaTe | Alexandria | PBE-GGA | relaxed
# - formation energy (no corrections) (eV/atom) = -0.20
data_ZrPaTe
_chemical_formula_sum 'Zr1 Pa1 Te1'
_cell_length_a 4.9866
_cell_length_b 4.9866
_cell_length_c 3.5313
_cell_angle_alpha 90.00
_cell_angle_beta 90.00
_cell_angle_gamma 120.00
_symmetry_space_group_name_H-M 'P -6 m 2'
_symmetry_Int_Tables_number 187
_symmetry_space_group_name_Hall 'P -6 2'
loop_
_atom_site_label
_atom_site_fract_x
_atom_site_fract_y
_atom_site_fract_z
Zr1 0.0000 0.0000 0.0000
Pa1 0.6667 0.3333 0.5000
Te1 0.3333 0.6667 0.0000

***

# 5
# Tl3Sn2Au9 | Alexandria | PBE-GGA | relaxed
# - formation energy from the elements (kJ/mol of formula units) = -31
data_Tl3Sn2Au9
_chemical_formula_sum 'Tl6 Sn4 Au18'
_cell_length_a 4.0622
_cell_length_b 11.2812
_cell_length_c 13.5848
_cell_angle_alpha 90.00
_cell_angle_beta 90.00
_cell_angle_gamma 90.00
_symmetry_space_group_name_H-M 'I m m m'
_symmetry_Int_Tables_number 71
_symmetry_space_group_name_Hall '-I 2 2'
loop_
_atom_site_label
_atom_site_fract_x
_atom_site_fract_y
_atom_site_fract_z
Tl1 0.0000 0.0000 0.0000
Tl2 0.0000 0.0000 0.2815
Sn1 0.0000 0.1812 0.5000
Au1 0.0000 0.3037 0.1608
Au2 0.0000 0.3745 0.3648
Au3 0.0000 0.5000 0.0000

***

# 6
# Pr3Dy12Th | Alexandria | PBE-GGA | relaxed
# - formation energy from the elements (kJ/mol of formula units) = 37
data_Pr3Dy12Th
_chemical_formula_sum 'Pr3 Dy12 Th1'
_cell_length_a 5.0576
_cell_length_b 5.0576
_cell_length_c 20.2359
_cell_angle_alpha 90.00
_cell_angle_beta 90.00
_cell_angle_gamma 90.00
_symmetry_space_group_name_H-M 'P 4/m m m'
_symmetry_Int_Tables_number 123
_symmetry_space_group_name_Hall '-P 4 2'
loop_
_atom_site_label
_atom_site_fract_x
_atom_site_fract_y
_atom_site_fract_z
Pr1 0.0000 0.0000 0.0000
Pr2 0.0000 0.0000 0.2516
Dy1 0.0000 0.5000 0.1259
Dy2 0.0000 0.5000 0.3784
Dy3 0.5000 0.5000 0.0000
Dy4 0.5000 0.5000 0.2509
Dy5 0.5000 0.5000 0.5000
Th1 0.0000 0.0000 0.5000

***

Number 1: total magnetic moment 0.00 μB/cell. Number 2: total magnetic moment 0.00 μB/cell. Number 3: total magnetic moment 0.00 μB/cell. Number 4: total magnetic moment 0.00 μB/cell. Number 5: total magnetic moment 0.00 μB/cell. Number 6: total magnetic moment 0.00 μB/cell.